Here is RbCrCo2F8 after structural relaxation from the Alexandria database. Energies are from PBE+U.

abc: 5.103 5.122 7.309
angles: 79.62 79.69 77.26
Space group P-1 (No. 2)
Inequivalent atoms, fractional coordinates:
Rb 0.000 0.000 0.000 [1 per cell]
Cr 0.000 0.000 0.500 [1 per cell]
Co 0.441 0.442 0.232 [2 per cell]
F 0.199 0.758 0.692 [2 per cell]
F 0.242 0.800 0.308 [2 per cell]
F 0.249 0.248 0.458 [2 per cell]
F 0.346 0.345 0.004 [2 per cell]

Computed properties:
Magnetic moment, μB per formula unit: 9.0
Raw total energy, eV/atom: -5.20
Density, g cm⁻³: 3.73